PBE-GGA PmTc, optimized geometry; calculated total energy = -13.2 eV/f.u.; space group = Fm-3m; energy relative to the lowest polymorph listed for this composition = 76.2 kJ per mole of atoms; ΔH_f (0 K) = 0.978 eV per atom
1.0
0.000 2.904 2.904
2.904 0.000 2.904
2.904 2.904 0.000
Pm Tc
1 1
Cartesian
0.000 0.000 0.000 Pm
2.904 2.904 2.904 Tc